The following is a GGA-PBE calculation of an optimized crystal structure of TlHg3Pd, from Alexandria.

Cell: 4.092 7.159 8.611 Å, 73.08 90.00 89.99°
Sites, in units of the cell vectors:
1 Tl 0.381 0.520 0.241
2 Tl 0.881 0.155 0.565
3 Hg 0.881 0.659 0.495
4 Hg 0.381 0.016 0.311
5 Hg 0.881 0.680 0.890
6 Hg 0.881 0.262 0.057
7 Hg 0.381 0.413 0.750
8 Hg 0.381 0.995 0.916
9 Pd 0.381 0.832 0.649
10 Pd 0.881 0.843 0.157

Uncorrected energy   -17.3 eV per cell
Formation enthalpy at 0 K   -0.041 eV per atom
Polymorph energy (0 for the lowest one)   0.0 meV/atom
ρ   12.558 g/cm³
Space-group type   P2_1/m, No. 11